Li2Cr2O7: relaxed, PBE with a Hubbard U.

Structure (CIF):
```
data_Li2Cr2O7
_chemical_formula_sum 'Li4 Cr4 O14'
_cell_length_a 6.646
_cell_length_b 6.864
_cell_length_c 7.208
_cell_angle_alpha 85.37
_cell_angle_beta 84.31
_cell_angle_gamma 71.27
_symmetry_space_group_name_H-M 'P 1'
_symmetry_Int_Tables_number 1
_symmetry_space_group_name_Hall 'P 1'
loop_
_atom_site_label
_atom_site_type_symbol
_atom_site_fract_x
_atom_site_fract_y
_atom_site_fract_z
_atom_site_occupancy
Li1 Li 0.138 0.444 0.173 1
Li2 Li 0.344 0.748 0.281 1
Li3 Li 0.656 0.252 0.719 1
Li4 Li 0.862 0.556 0.827 1
Cr1 Cr 0.190 0.155 0.584 1
Cr2 Cr 0.312 0.721 0.838 1
Cr3 Cr 0.688 0.279 0.162 1
Cr4 Cr 0.810 0.845 0.416 1
O1 O 0.043 0.707 0.319 1
O2 O 0.141 0.595 0.901 1
O3 O 0.195 0.190 0.358 1
O4 O 0.230 0.887 0.636 1
O5 O 0.325 0.854 0.009 1
O6 O 0.380 0.220 0.659 1
O7 O 0.452 0.444 0.216 1
O8 O 0.548 0.556 0.784 1
O9 O 0.620 0.780 0.341 1
O10 O 0.675 0.146 0.991 1
O11 O 0.770 0.113 0.364 1
O12 O 0.805 0.810 0.642 1
O13 O 0.859 0.405 0.099 1
O14 O 0.957 0.293 0.681 1
```

Summary:
- density of states at the Fermi level (states/eV per cell) = 0.000
- E above lowest polymorph (meV/atom) = 16
- space-group type = P-1